A geometry-optimized TcRhOF2 structure, computed with PBE-GGA.

a = 4.4170 Å, b = 4.4170 Å, c = 3.7429 Å
α = 90.00°, β = 90.00°, γ = 90.00°
With the nearest neighbours (Å) after each atom.
Positions (direct):
Tc (0.0000, 0.0000, 0.0000)  8 F 2.89, 4 O 3.12
Rh (0.5000, 0.5000, 0.5000)  2 O 1.87
O (0.5000, 0.5000, 0.0000)  2 Rh 1.87
F (0.0000, 0.5000, 0.5000)  2 Rh 2.21
F (0.5000, 0.0000, 0.5000)  2 Rh 2.21

Summary:
space-group type = P4/mmm, No. 123
total energy = -27.3 eV/cell
uncorrected formation energy = -0.1688 eV/atom